(1)
A plane-wave DFT calculation with PBE-GGA was carried out for DySnH after structural relaxation.

Unit cell a=6.0987 b=6.0987 c=6.0987 alpha=149.36 beta=149.36 gamma=43.89
With the nearest neighbours (Å) after each atom.
Sites, in units of the cell vectors:
Dy: 0.0000 0.0000 0.0000  4 H 2.33
Sn: 0.2812 0.2812 0.0000  1 H 2.97, 1 Dy 3.18, 4 Sn 3.22
H: 0.5438 0.5438 0.0000  4 Dy 2.33

N(E_F)	1.81	states/eV/f.u.

=====

(2)
A plane-wave DFT calculation with PBE-GGA was carried out for Ta2CdS2 after structural relaxation.

Unit cell a=7.4092 b=7.4092 c=3.0773 alpha=90.00 beta=90.00 gamma=90.00
With the nearest neighbours (Å) after each atom.
Sites, in units of the cell vectors:
Ta: 0.1454 0.3546 0.0000  6 S 2.60-2.74, 2 Cd 2.84
Ta: 0.3546 0.8546 0.0000  6 S 2.60-2.74, 2 Cd 2.84
Ta: 0.6454 0.1454 0.0000  6 S 2.60-2.74, 2 Cd 2.84
Ta: 0.8546 0.6454 0.0000  6 S 2.60-2.74, 2 Cd 2.84
Cd: 0.0000 0.0000 0.0000  4 Ta 2.84, 2 Cd 3.08
Cd: 0.5000 0.5000 0.0000  4 Ta 2.84, 2 Cd 3.08
S: 0.1377 0.6377 0.5000  6 Ta 2.60-2.74, 1 S 2.89
S: 0.3623 0.1377 0.5000  6 Ta 2.60-2.74, 1 S 2.89
S: 0.6377 0.8623 0.5000  6 Ta 2.60-2.74, 1 S 2.89
S: 0.8623 0.3623 0.5000  6 Ta 2.60-2.74, 1 S 2.89

N(E_F)	2.43	states/eV/f.u.
ΔE_f (raw)	-0.59	eV per formula unit

=====

(3)
A plane-wave DFT calculation with PBE-GGA was carried out for Mg2GaFePt after structural relaxation.

Unit cell a=4.7824 b=4.7824 c=4.4141 alpha=90.00 beta=90.00 gamma=90.00
With the nearest neighbours (Å) after each atom.
Sites, in units of the cell vectors:
Mg: 0.0000 0.5000 0.0000  2 Ga 2.39
Mg: 0.5000 0.0000 0.0000  2 Ga 2.39
Ga: 0.0000 0.0000 0.0000  2 Fe 2.21, 4 Mg 2.39
Fe: 0.0000 0.0000 0.5000  2 Ga 2.21
Pt: 0.5000 0.5000 0.5000  8 Mg 3.25, 4 Fe 3.38

calculated formation energy	0.59	eV/atom
N(E_F)	4.55	states/eV/f.u.

=====

Total energy per entry: -13.0; -66.9; -17.8 eV per cell
V per entry: 58.76; 168.93; 100.96 Å³/cell